Na2VF6 | PBE with a Hubbard U | optimized geometry

The calculation puts the volume at 127.2 Å³/f.u. The final energy is -5.194 eV per atom.

Lattice parameters (Å, degrees): 5.0330 5.0330 10.0417 90.00 90.00 90.00
Atoms (fractional coordinates):
1 Na 0.0000 0.0000 0.1663
2 Na 0.0000 0.0000 0.8337
3 Na 0.5000 0.5000 0.3337
4 Na 0.5000 0.5000 0.6663
5 V 0.0000 0.0000 0.5000
6 V 0.5000 0.5000 0.0000
7 F 0.1824 0.1824 0.3614
8 F 0.1824 0.1824 0.6386
9 F 0.2396 0.2396 0.0000
10 F 0.2604 0.7396 0.5000
11 F 0.3176 0.6824 0.1386
12 F 0.3176 0.6824 0.8614
13 F 0.6824 0.3176 0.1386
14 F 0.6824 0.3176 0.8614
15 F 0.7396 0.2604 0.5000
16 F 0.7604 0.7604 0.0000
17 F 0.8176 0.8176 0.3614
18 F 0.8176 0.8176 0.6386